V3PdAu PBE-GGA optimized geometry; offset from the most stable computed form = 0.0 meV per atom; DFT formation energy = 1.186 eV/atom; size of the total moment = 1.4343 μB/atom
1.0
-2.2325 -1.2325 3.9650
2.4131 -4.0485 0.1003
3.3789 2.0771 2.5481
Pd V Au
1 3 1
Direct
0.0000 0.0000 0.0000
0.0000 0.5000 0.0000
0.0000 0.0000 0.5000
0.5000 0.0000 0.0000
0.5000 0.5000 0.5000